The following is a DFT calculation (PBE) of a relaxed La4NiTeI2 crystal.

Structure (CIF):
```
data_La4NiTeI2
_chemical_formula_sum 'La4 Ni1 Te1 I2'
_symmetry_space_group_name_H-M 'P 1'
_symmetry_Int_Tables_number 1
_cell_length_a 8.0724
_cell_length_b 4.2535
_cell_length_c 8.1287
_cell_angle_alpha 90.00
_cell_angle_beta 106.79
_cell_angle_gamma 90.00
loop_
_symmetry_equiv_pos_as_xyz
'x,y,z'
loop_
_atom_site_label
_atom_site_type_symbol
_atom_site_fract_x
_atom_site_fract_y
_atom_site_fract_z
La1 La 0.2002 0.0000 0.1944
La2 La 0.2375 0.5000 0.7801
La3 La 0.7625 0.5000 0.2199
La4 La 0.7998 0.0000 0.8056
Ni1 Ni 0.0000 0.5000 0.0000
Te1 Te 0.5000 0.0000 0.0000
I1 I 0.0000 0.0000 0.5000
I2 I 0.5000 0.5000 0.5000
```

Values from the calculation:
Formation energy (no corrections) = -1000 meV per atom